! NbBiTe | the Open Quantum Materials Database | GGA-PBE | relaxed; values from VASP
! Total DFT energy (no corrections) = -5.51 eV/atom
! Symmetry = F-43m (216)
&SYSTEM
  ibrav = 0, nat = 3, ntyp = 3
/
ATOMIC_SPECIES
Te 127.60 Te.upf
Bi 208.98 Bi.upf
Nb 92.91 Nb.upf
ATOMIC_POSITIONS angstrom
Te 3.4727 3.4727 3.4727
Bi 0.0000 0.0000 0.0000
Nb 5.2090 5.2090 5.2090
CELL_PARAMETERS angstrom
0.0000 3.4727 3.4727
3.4727 0.0000 3.4727
3.4727 3.4727 0.0000